# 1
Material: Be2Fe5Tc2Ni
Method: DFT, PBE-GGA
State: relaxed

The structure in POSCAR format:
```
Be2Fe5Tc2Ni
1.0
3.482 0.000 0.000
0.000 8.007 0.000
0.000 0.000 8.007
Tc Ni Be Fe
4 2 4 10
direct
0.000 0.181 0.319 Tc
0.000 0.819 0.681 Tc
0.000 0.681 0.181 Tc
0.000 0.319 0.819 Tc
0.000 0.000 0.000 Ni
0.000 0.500 0.500 Ni
0.000 0.387 0.113 Be
0.000 0.887 0.387 Be
0.000 0.613 0.887 Be
0.000 0.113 0.613 Be
0.500 0.000 0.500 Fe
0.500 0.211 0.065 Fe
0.500 0.289 0.565 Fe
0.500 0.500 0.000 Fe
0.500 0.789 0.935 Fe
0.500 0.435 0.289 Fe
0.500 0.565 0.711 Fe
0.500 0.935 0.211 Fe
0.500 0.711 0.435 Fe
0.500 0.065 0.789 Fe
```

Energy of formation from the pure elements ... 74.0 meV/atom

# 2
Material: GeAsN
Method: DFT, PBE-GGA
State: relaxed

The structure in POSCAR format:
```
GeAsN
1.0
2.758 0.000 0.100
0.000 5.338 0.000
-0.422 -2.669 10.264
Ge N As
2 2 2
direct
0.993 0.701 0.401 Ge
0.007 0.299 0.599 Ge
0.501 0.527 0.054 N
0.499 0.473 0.946 N
0.998 0.176 0.352 As
0.002 0.824 0.648 As
```

Distance to the lowest polymorph of the same formula ... 0.0000 eV per atom
Uncorrected formation energy ... 0.173 eV/atom

# 3
Material: Ag6BiPd8
Method: DFT, PBE-GGA
State: relaxed

The structure in POSCAR format:
```
Ag6BiPd8
1.0
-1.027 -6.365 1.827
-2.170 -3.221 -5.461
5.208 -3.513 -2.332
Ag Pd Bi
6 8 1
direct
0.395 0.818 0.568 Ag
0.182 0.432 0.605 Ag
0.818 0.568 0.395 Ag
0.568 0.395 0.818 Ag
0.432 0.605 0.182 Ag
0.605 0.182 0.432 Ag
0.852 0.388 0.059 Pd
0.761 0.761 0.761 Pd
0.059 0.852 0.388 Pd
0.941 0.148 0.612 Pd
0.612 0.941 0.148 Pd
0.239 0.239 0.239 Pd
0.148 0.612 0.941 Pd
0.388 0.059 0.852 Pd
0.000 0.000 0.000 Bi
```

Energy of formation from the pure elements ... 47.4 meV/atom

# 4
Material: BaCaAg2
Method: DFT, PBE-GGA
State: relaxed

The structure in POSCAR format:
```
BaCaAg2
1.0
-2.142 2.951 1.273
-1.403 -2.235 2.821
6.370 2.429 5.091
Ag Ca Ba
2 1 1
direct
0.000 0.000 0.036 Ag
0.500 0.500 0.189 Ag
0.500 0.500 0.834 Ca
0.000 0.000 0.441 Ba
```

Energy of formation from the pure elements ... -122.9 meV/atom
Distance to the lowest polymorph of the same formula ... 0.1460 eV per atom

# 5
Material: DyInSn2I8
Method: DFT, PBE-GGA
State: relaxed

The structure in POSCAR format:
```
DyInSn2I8
1.0
7.755 0.045 -0.004
0.095 7.304 -0.006
0.008 0.014 9.529
I In Sn Dy
8 1 2 1
direct
0.357 0.271 0.500 I
0.156 0.755 0.226 I
0.157 0.755 0.774 I
0.843 0.245 0.226 I
0.676 0.762 0.000 I
0.643 0.729 0.500 I
0.844 0.245 0.774 I
0.324 0.238 0.000 I
0.000 0.000 0.500 In
0.500 0.500 0.252 Sn
0.500 0.500 0.748 Sn
0.000 0.000 0.000 Dy
```

Uncorrected formation energy ... -0.753 eV/atom

# 6
Material: YLuCuRu
Method: DFT, PBE-GGA
State: relaxed

The structure in POSCAR format:
```
YLuCuRu
1.0
-1.232 2.329 -4.030
-4.629 0.287 -1.295
-2.318 4.212 0.267
Ru Lu Cu Y
1 1 1 1
direct
0.750 0.750 0.750 Ru
0.000 0.000 0.000 Lu
0.250 0.250 0.250 Cu
0.500 0.500 0.500 Y
```

Energy of formation from the pure elements ... -365.1 meV/atom

# 7
Material: SmSc8Sn6
Method: DFT, PBE-GGA
State: relaxed

The structure in POSCAR format:
```
SmSc8Sn6
1.0
-5.569 -2.556 -6.058
-7.499 -3.581 2.277
-6.993 3.523 -1.186
Sn Sc Sm
6 8 1
direct
0.588 0.931 0.207 Sn
0.412 0.069 0.793 Sn
0.726 0.412 0.793 Sn
0.274 0.588 0.207 Sn
0.931 0.274 0.207 Sn
0.069 0.726 0.793 Sn
0.894 0.565 0.318 Sc
0.667 0.667 0.999 Sc
0.435 0.776 0.682 Sc
0.565 0.224 0.318 Sc
0.106 0.435 0.682 Sc
0.224 0.894 0.318 Sc
0.776 0.106 0.682 Sc
0.333 0.333 0.001 Sc
0.000 0.000 0.000 Sm
```

Energy of formation from the pure elements ... -464.1 meV/atom

# 8
Material: YCuRh3
Method: DFT, PBE-GGA
State: relaxed

The structure in POSCAR format:
```
YCuRh3
1.0
4.547 0.000 0.000
0.000 4.547 0.000
0.000 0.000 4.547
Rh Y Cu
3 1 1
direct
0.000 0.500 0.000 Rh
0.000 0.000 0.500 Rh
0.500 0.000 0.000 Rh
0.500 0.500 0.500 Y
0.000 0.000 0.000 Cu
```

Energy of formation from the pure elements ... 295.7 meV/atom
Distance to the lowest polymorph of the same formula ... 0.0000 eV per atom

# 9
Material: TbPm4Tm2
Method: DFT, PBE-GGA
State: relaxed

The structure in POSCAR format:
```
TbPm4Tm2
1.0
6.214 0.000 -0.313
0.000 6.597 0.000
-2.447 0.000 11.321
Pm Tm Tb
8 4 2
direct
0.851 0.250 0.550 Pm
0.038 0.750 0.863 Pm
0.648 0.508 0.285 Pm
0.962 0.250 0.137 Pm
0.352 0.008 0.715 Pm
0.352 0.492 0.715 Pm
0.149 0.750 0.450 Pm
0.648 0.992 0.285 Pm
0.608 0.750 0.996 Tm
0.290 0.250 0.425 Tm
0.392 0.250 0.004 Tm
0.710 0.750 0.575 Tm
0.154 0.750 0.163 Tb
0.846 0.250 0.837 Tb
```

Energy of formation from the pure elements ... 127.8 meV/atom
Distance to the lowest polymorph of the same formula ... 0.0711 eV per atom

# 10
Material: Ac8La2Mg
Method: DFT, PBE-GGA
State: relaxed

The structure in POSCAR format:
```
Ac8La2Mg
1.0
-2.984 -3.636 -3.735
7.521 -6.404 0.226
-5.549 1.385 7.915
Ac La Mg
8 2 1
direct
0.649 0.441 0.297 Ac
0.351 0.143 0.703 Ac
0.864 0.864 0.728 Ac
0.000 0.678 0.000 Ac
0.000 0.322 0.000 Ac
0.136 0.136 0.272 Ac
0.649 0.857 0.297 Ac
0.351 0.559 0.703 Ac
0.788 0.288 0.575 La
0.212 0.712 0.425 La
0.500 0.000 0.000 Mg
```

Energy of formation from the pure elements ... 117.0 meV/atom

# 11
Material: AgHgTe2I
Method: DFT, PBE-GGA
State: relaxed

The structure in POSCAR format:
```
AgHgTe2I
1.0
-2.591 4.543 1.827
0.364 -1.883 5.197
4.995 2.610 0.596
Te Hg I Ag
2 1 1 1
direct
0.000 0.500 0.000 Te
0.500 0.000 0.000 Te
0.500 0.500 0.500 Hg
0.000 0.000 0.500 I
0.000 0.000 0.000 Ag
```

Distance to the lowest polymorph of the same formula ... 0.0000 eV per atom
Uncorrected formation energy ... 0.419 eV/atom

# 12
Material: ZnNiIr2
Method: DFT, PBE-GGA
State: relaxed

The structure in POSCAR format:
```
ZnNiIr2
1.0
-1.799 -4.673 -0.646
0.727 -3.352 3.704
-2.031 4.407 -1.393
Zn Ir Ni
1 2 1
direct
0.261 0.761 0.500 Zn
0.742 0.242 0.500 Ir
0.002 0.002 0.000 Ir
0.495 0.495 0.000 Ni
```

Energy of formation from the pure elements ... 32.9 meV/atom

# 13
Material: SmPaPdN3
Method: DFT, PBE-GGA
State: relaxed

The structure in POSCAR format:
```
SmPaPdN3
1.0
3.557 0.000 0.000
0.000 9.150 1.661
0.000 -2.148 6.154
N Pa Pd Sm
6 2 2 2
direct
0.750 0.737 0.996 N
0.750 0.511 0.250 N
0.250 0.791 0.463 N
0.750 0.209 0.537 N
0.250 0.489 0.750 N
0.250 0.263 0.004 N
0.250 0.660 0.131 Pa
0.750 0.340 0.869 Pa
0.750 0.905 0.416 Pd
0.250 0.095 0.584 Pd
0.250 0.334 0.364 Sm
0.750 0.666 0.636 Sm
```

Uncorrected formation energy ... -0.955 eV/atom

# 14
Material: MnBiAuN
Method: DFT, PBE-GGA
State: relaxed

The structure in POSCAR format:
```
MnBiAuN
1.0
5.940 0.000 0.261
0.000 2.997 0.000
-3.145 0.000 8.490
Bi Mn N Au
2 2 2 2
direct
0.909 0.500 0.967 Bi
0.909 0.000 0.467 Bi
0.400 0.000 0.102 Mn
0.400 0.500 0.602 Mn
0.558 0.500 0.109 N
0.558 0.000 0.609 N
0.204 0.000 0.790 Au
0.204 0.500 0.290 Au
```

Distance to the lowest polymorph of the same formula ... 0.1186 eV per atom
Uncorrected formation energy ... 0.254 eV/atom

Number 1: density 8.211 Mg/m³, uncorrected energy -7.554 eV per atom. Number 2: density 3.545 Mg/m³, uncorrected energy -5.691 eV per atom. Number 3: density 10.510 Mg/m³, uncorrected energy -4.121 eV per atom. Number 4: density 5.143 Mg/m³, uncorrected energy -2.530 eV per atom. Number 5: density 4.708 Mg/m³, uncorrected energy -3.065 eV per atom. Number 6: density 9.014 Mg/m³, uncorrected energy -6.454 eV per atom. Number 7: density 5.122 Mg/m³, uncorrected energy -5.757 eV per atom. Number 8: density 8.144 Mg/m³, uncorrected energy -6.227 eV per atom. Number 9: density 7.791 Mg/m³, uncorrected energy -4.526 eV per atom. Number 10: density 7.531 Mg/m³, uncorrected energy -3.912 eV per atom. Number 11: density 6.593 Mg/m³, uncorrected energy -1.778 eV per atom. Number 12: density 15.722 Mg/m³, uncorrected energy -6.161 eV per atom. Number 13: density 8.263 Mg/m³, uncorrected energy -8.352 eV per atom. Number 14: density 10.267 Mg/m³, uncorrected energy -5.909 eV per atom.